Record 1
LiBe2W: relaxed, PBE.

## Properties
* energy relative to the elements: 401 meV per atom
* distance to the lowest polymorph of the same formula: 0.227 eV per atom

Cell: 4.5115 2.4685 4.8418 Å, 90.00 112.76 90.00°
Closest atoms and distances in Å follow each position.
Space group P2/m (No. 10)
One atom of each set of equivalent atoms:
Li  0.0000  0.0000  0.0000 [1 per cell]  6 Be 2.42-2.57, 2 Li 2.47
Be  0.0000  0.0000  0.5000 [1 per cell]  2 Li 2.42, 2 Be 2.47, 4 W 2.57
Be  0.5000  0.5000  0.0000 [1 per cell]  2 W 2.42, 2 Be 2.47, 4 Li 2.57
W  0.5000  0.5000  0.5000 [1 per cell]  6 Be 2.42-2.57, 2 W 2.47


Record 2
InGa5Sn: relaxed, PBE.

## Properties
* energy relative to the elements: 81 meV per atom

Cell: 4.1533 4.1533 9.0712 Å, 90.00 90.00 90.00°
Closest atoms and distances in Å follow each position.
Space group P4/mmm (No. 123)
One atom of each set of equivalent atoms:
In  0.0000  0.0000  0.0000 [1 per cell]  12 Ga 2.94-3.13
Ga  0.0000  0.5000  0.2587 [4 per cell]  6 Ga 2.94-3.13, 2 Sn 3.02, 2 In 3.13
Ga  0.5000  0.5000  0.0000 [1 per cell]  4 In 2.94, 8 Ga 3.13
Sn  0.5000  0.5000  0.5000 [1 per cell]  8 Ga 3.02


Record 3
Sb2TeIrI: relaxed, PBE.

## Properties
* distance to the lowest polymorph of the same formula: 0.000 eV per atom
* formation energy (no corrections): 0.411 eV/atom

Cell: 5.1808 5.1808 5.5736 Å, 90.00 90.00 90.00°
Closest atoms and distances in Å follow each position.
Space group P4/mmm (No. 123)
One atom of each set of equivalent atoms:
Sb  0.0000  0.5000  0.0000 [2 per cell]  2 Ir 2.59
Te  0.0000  0.0000  0.5000 [1 per cell]  2 Ir 2.79
Ir  0.0000  0.0000  0.0000 [1 per cell]  4 Sb 2.59, 2 Te 2.79
I  0.5000  0.5000  0.5000 [1 per cell]  4 Te 3.66, 8 Sb 3.80


Record 4
SrY2ReH: relaxed, PBE.

## Properties
* uncorrected energy: -4.626 eV/atom

Cell: 5.6759 5.6759 3.6657 Å, 90.00 90.00 90.00°
Closest atoms and distances in Å follow each position.
Space group P4/mmm (No. 123)
One atom of each set of equivalent atoms:
Sr  0.0000  0.0000  0.0000 [1 per cell]  2 H 1.83
Y  0.0000  0.5000  0.0000 [2 per cell]  2 Sr 2.84
Re  0.5000  0.5000  0.5000 [1 per cell]  8 Y 3.38, 2 Re 3.67
H  0.0000  0.0000  0.5000 [1 per cell]  2 Sr 1.83


Record 5
NaTb2Te3: relaxed, PBE.

## Properties
* distance to the lowest polymorph of the same formula: 0.000 eV per atom
* formation energy (no corrections): -1.310 eV/atom

Cell: 4.3849 6.2425 13.3902 Å, 90.00 90.00 90.00°
Closest atoms and distances in Å follow each position.
Space group Immm (No. 71)
One atom of each set of equivalent atoms:
Na  0.0000  0.0000  0.0000 [2 per cell]  6 Te 3.12-3.17
Tb  0.0000  0.0000  0.3360 [4 per cell]  6 Te 3.10-3.12
Te  0.0000  0.5000  0.0000 [2 per cell]  4 Tb 3.10, 2 Na 3.12
Te  0.0000  0.5000  0.3293 [4 per cell]  4 Tb 3.12, 2 Na 3.17


Record 6
LaDyEr2As4: relaxed, PBE.

## Properties
* energy relative to the elements: -1520 meV per atom

Cell: 7.2139 4.1703 7.2172 Å, 90.00 109.45 90.00°
Closest atoms and distances in Å follow each position.
Space group P2/m (No. 10)
One atom of each set of equivalent atoms:
La  0.0000  0.0000  0.0000 [1 per cell]  6 As 3.01
Dy  0.0000  0.5000  0.5000 [1 per cell]  6 As 2.96
Er  0.5000  0.0000  0.5000 [1 per cell]  6 As 2.88-2.89
Er  0.5000  0.5000  0.0000 [1 per cell]  6 As 2.94
As  0.2568  0.0000  0.7463 [2 per cell]  3 Er 2.88-2.94, 2 Dy 2.96, 1 La 3.01
As  0.2614  0.5000  0.2599 [2 per cell]  3 Er 2.89-2.94, 1 Dy 2.96, 2 La 3.01


Record 7
Pr7Ga2Sb2: relaxed, PBE.

## Properties
* formation energy (no corrections): -0.379 eV/atom

Cell: 8.2140 11.2449 7.8348 Å, 90.00 90.00 90.00°
Closest atoms and distances in Å follow each position.
Space group Cmmm (No. 65)
One atom of each set of equivalent atoms:
Pr  0.0000  0.0000  0.0000 [2 per cell]  2 Sb 3.24
Pr  0.0000  0.5000  0.2768 [4 per cell]  2 Sb 3.22, 2 Ga 3.29, 5 Pr 3.48-3.50
Pr  0.2500  0.2500  0.2931 [8 per cell]  2 Sb 3.11, 3 Pr 3.24-3.48, 2 Ga 3.33
Ga  0.1614  0.0000  0.5000 [4 per cell]  1 Ga 2.65
Sb  0.0000  0.2883  0.0000 [4 per cell]  7 Pr 3.11-3.24


Record 8
ScNi2Ag: relaxed, PBE.

## Properties
* energy relative to the elements: -129 meV per atom

Cell: 3.0573 3.5468 5.5481 Å, 90.00 90.00 90.00°
Closest atoms and distances in Å follow each position.
Space group Pmm2 (No. 25)
One atom of each set of equivalent atoms:
Sc  0.0000  0.0000  0.0000 [1 per cell]  5 Ni 2.47-2.65
Ni  0.0000  0.0000  0.5545 [1 per cell]  1 Sc 2.47, 4 Ni 2.64, 4 Ag 2.72
Ni  0.5000  0.5000  0.7747 [1 per cell]  1 Ag 2.60, 4 Ni 2.64, 4 Sc 2.65
Ag  0.5000  0.5000  0.3066 [1 per cell]  5 Ni 2.60-2.72, 4 Sc 2.89


Record 9
NpBe2TlCl8: relaxed, PBE.

## Properties
* formation energy (no corrections): -1.426 eV/atom

Cell: 6.2179 6.2179 29.5623 Å, 90.00 90.00 120.00°
Closest atoms and distances in Å follow each position.
Space group R-3 (No. 148, hexagonal axes)
One atom of each set of equivalent atoms:
Np  0.0000  0.0000  0.0000 [3 per cell]  6 Cl 2.76
Be  0.0000  0.0000  0.2509 [6 per cell]  4 Cl 1.95-2.07
Tl  0.0000  0.0000  0.5000 [3 per cell]  12 Cl 3.63-3.86
Cl  0.0000  0.0000  0.1851 [6 per cell]  1 Be 1.95
Cl  0.0065  0.3142  0.2759 [18 per cell]  1 Be 2.07


Record 10
Tb3ErBi4: relaxed, PBE.

## Properties
* energy relative to the elements: -862 meV per atom
* distance to the lowest polymorph of the same formula: 0.005 eV per atom

Cell: 8.9549 12.6645 4.4807 Å, 90.00 90.00 90.00°
Closest atoms and distances in Å follow each position.
Space group Cmmm (No. 65)
One atom of each set of equivalent atoms:
Tb  0.0000  0.0000  0.0000 [2 per cell]  6 Bi 3.18
Tb  0.2500  0.2500  0.5000 [4 per cell]  6 Bi 3.17
Er  0.0000  0.5000  0.0000 [2 per cell]  6 Bi 3.15
Bi  0.0000  0.2511  0.0000 [4 per cell]  1 Er 3.15, 5 Tb 3.17-3.18
Bi  0.2479  0.5000  0.5000 [4 per cell]  2 Er 3.15, 4 Tb 3.17-3.18


Record 11
DySc4Al4: relaxed, PBE.

## Properties
* energy relative to the elements: -181 meV per atom

Cell: 8.5021 8.5021 5.4018 Å, 90.00 90.00 90.00°
Closest atoms and distances in Å follow each position.
Space group P4_2/n (No. 86, origin choice 2)
One atom of each set of equivalent atoms:
Dy  0.2500  0.2500  0.2500 [2 per cell]  4 Al 2.99, 4 Sc 3.05
Sc  0.0956  0.8205  0.6422 [8 per cell]  5 Al 2.87-3.11, 1 Sc 2.89, 1 Dy 3.05
Al  0.0420  0.1408  0.8381 [8 per cell]  5 Sc 2.87-3.11, 3 Al 2.98-3.05, 1 Dy 2.99


Record 12
MnBeBi2Pd: relaxed, PBE.

## Properties
* energy relative to the elements: 518 meV per atom

Cell: 4.9542 4.9542 4.3004 Å, 90.00 90.00 90.00°
Closest atoms and distances in Å follow each position.
Space group P4/mmm (No. 123)
One atom of each set of equivalent atoms:
Mn  0.0000  0.0000  0.0000 [1 per cell]  2 Be 2.15
Be  0.0000  0.0000  0.5000 [1 per cell]  2 Mn 2.15
Bi  0.0000  0.5000  0.5000 [2 per cell]  2 Be 2.48
Pd  0.5000  0.5000  0.0000 [1 per cell]  8 Bi 3.28, 4 Mn 3.50